No. 1
A plane-wave DFT calculation with PBE was carried out for a geometry-optimized KHgI2 structure.

Summary:
- ρ: 4.89 g/cm3
- Relative energy among the computed polymorphs: 1.58 kcal/mol of atoms
- Spin magnetization: 0.0013 μB/atom
- E_form (uncorrected): -0.639 eV/atom
- Total DFT energy (no corrections): -1.763 eV per atom
- Volume: 41.86 Å³ per atom

Cell: 4.762 4.762 8.959 Å, 74.59 74.59 60.00°
Fractional coordinates of all 4 atoms:
K: 0.667 0.667 0.000
Hg: 0.500 0.500 0.501
I: 0.086 0.086 0.741
I: 0.247 0.247 0.258



No. 2
A plane-wave DFT calculation with PBE was carried out for a geometry-optimized Li2VAs structure.

Summary:
- Energy of formation from the pure elements: 3 meV per atom
- ρ: 3.66 g/cm3
- Spin magnetization: 0.3413 μB/atom
- Total DFT energy (no corrections): -4.396 eV per atom
- Volume: 15.86 Å³ per atom

Cell: 3.588 3.588 10.175 Å, 79.84 79.84 90.00°
Site moments in Bohr magnetons follow the coordinates.
Fractional coordinates of all 8 atoms:
As: 0.000 0.000 0.000  -0.07
As: 0.750 0.250 0.500  -0.07
V: 0.500 0.500 0.000  1.42
V: 0.250 0.750 0.500  1.42
Li: 0.640 0.125 0.250  -0.03
Li: 0.110 0.625 0.250  -0.03
Li: 0.375 0.360 0.750  -0.03
Li: 0.875 0.890 0.750  -0.03